The following is a DFT calculation (PBE) of an optimized crystal structure of V6MoRh5.

Lattice parameters (Å, degrees): 4.4440 5.7668 6.7219 90.00 103.86 90.00
Closest atoms and distances in Å follow each position.
Element x y z (fractional)
Rh 0.3938 0.0000 0.6774  8 V 2.54-2.66, 1 Rh 2.77
Rh 0.6003 0.5000 0.3157  8 V 2.53-2.70, 1 Rh 2.83
Rh 0.6062 0.0000 0.3226  8 V 2.54-2.66, 1 Rh 2.77
Rh 0.0000 0.5000 0.0000  8 V 2.66-2.72, 2 Mo 2.88
Rh 0.3997 0.5000 0.6843  8 V 2.53-2.70, 1 Rh 2.83
V 0.5000 0.7542 0.0000  6 Rh 2.53-2.66, 2 Mo 2.64
V 0.8838 0.7508 0.6473  1 V 2.44, 7 Rh 2.65-2.72, 1 Mo 2.71
V 0.1162 0.7508 0.3527  1 V 2.44, 7 Rh 2.65-2.72, 1 Mo 2.71
V 0.1162 0.2492 0.3527  1 V 2.44, 7 Rh 2.65-2.72, 1 Mo 2.71
V 0.8838 0.2492 0.6473  1 V 2.44, 7 Rh 2.65-2.72, 1 Mo 2.71
V 0.5000 0.2458 0.0000  6 Rh 2.53-2.66, 2 Mo 2.64
Mo 0.0000 0.0000 0.0000  8 V 2.64-2.71, 2 Rh 2.88

Space-group type: P2/m (10)
Formation energy in eV per atom: -0.280

=====

The following is a DFT calculation (PBE) of an optimized crystal structure of RbMg3As.

Lattice parameters (Å, degrees): 6.9708 6.9708 6.9708 90.00 90.00 90.00
Closest atoms and distances in Å follow each position.
Element x y z (fractional)
As 0.5000 0.5000 0.5000  12 Mg 4.93
Mg 0.0000 0.5000 0.0000  2 Rb 3.49
Mg 0.0000 0.0000 0.5000  2 Rb 3.49
Mg 0.5000 0.0000 0.0000  2 Rb 3.49
Rb 0.0000 0.0000 0.0000  6 Mg 3.49

Space-group type: Pm-3m (221)
Formation energy in eV per atom: 1.308

=====

The following is a DFT calculation (PBE) of an optimized crystal structure of Na16Cd12Hg.

Lattice parameters (Å, degrees): 10.0120 10.0120 10.0717 108.95 108.95 108.89
Closest atoms and distances in Å follow each position.
Element x y z (fractional)
Cd 0.8203 0.8203 0.1858  3 Cd 2.99-3.04, 1 Hg 3.08, 4 Na 3.33
Cd 0.1787 0.8035 0.8186  3 Cd 2.95-3.04, 1 Na 3.28
Cd 0.8234 0.6354 0.6402  3 Cd 2.95-3.06, 1 Hg 3.14, 1 Na 3.25
Cd 0.6434 0.6434 0.8282  3 Cd 2.99-3.01
Cd 0.9993 0.3685 0.1815  3 Cd 2.93-3.04, 1 Na 3.24
Cd 0.8035 0.1787 0.8186  3 Cd 2.95-3.04, 1 Na 3.28
Cd 0.1863 0.0007 0.3578  3 Cd 2.93-3.04
Cd 0.3474 0.1677 0.9818  3 Cd 2.93-3.03, 1 Na 3.22
Cd 0.6354 0.8234 0.6402  3 Cd 2.95-3.06, 1 Hg 3.14, 1 Na 3.25
Cd 0.1677 0.3474 0.9818  3 Cd 2.93-3.03, 1 Na 3.22
Cd 0.3685 0.9993 0.1815  3 Cd 2.93-3.04, 1 Na 3.24
Cd 0.0007 0.1863 0.3578  3 Cd 2.93-3.04
Na 0.6399 0.9994 0.0047  4 Na 3.33-3.60, 7 Cd 3.42-3.70
Na 0.3036 0.3036 0.7070  7 Na 3.30-3.51, 5 Cd 3.32-3.43
Na 0.9945 0.4044 0.6799  5 Cd 3.30-3.42, 6 Na 3.33-3.56
Na 0.6848 0.0016 0.4084  5 Cd 3.24-3.51, 1 Hg 3.26, 5 Na 3.28-3.57
Na 0.7111 0.3259 0.3089  5 Cd 3.25-3.57, 5 Na 3.34-3.55, 1 Hg 3.42
Na 0.9994 0.6399 0.0047  4 Na 3.33-3.60, 7 Cd 3.42-3.70
Na 0.2823 0.5865 0.5918  5 Cd 3.28-3.52, 6 Na 3.37-3.56
Na 0.3259 0.7111 0.3089  5 Cd 3.25-3.57, 5 Na 3.34-3.55, 1 Hg 3.42
Na 0.4220 0.6676 0.0142  5 Cd 3.22-3.53, 1 Hg 3.34, 4 Na 3.35-3.57
Na 0.3667 0.3667 0.3306  1 Hg 3.25, 4 Cd 3.33-3.50, 2 Na 3.37
Na 0.0016 0.6848 0.4084  5 Cd 3.24-3.51, 1 Hg 3.26, 5 Na 3.28-3.57
Na 0.6676 0.4220 0.0142  5 Cd 3.22-3.53, 1 Hg 3.34, 4 Na 3.35-3.57
Na 0.5865 0.2823 0.5918  5 Cd 3.28-3.52, 6 Na 3.37-3.56
Na 0.9979 0.9979 0.0009  12 Cd 3.46-3.56, 4 Na 3.54-3.68
Na 0.4044 0.9945 0.6799  5 Cd 3.30-3.42, 6 Na 3.33-3.56
Na 0.9941 0.9941 0.6465  4 Na 3.28-3.54, 6 Cd 3.37-3.52, 1 Hg 3.52
Hg 0.6432 0.6432 0.3253  3 Cd 3.08-3.14, 7 Na 3.25-3.42

Space-group type: Cm (8)
Formation energy in eV per atom: -0.097

=====

The following is a DFT calculation (PBE) of an optimized crystal structure of YTmSc2.

Lattice parameters (Å, degrees): 4.7081 4.8535 4.8535 90.00 90.00 90.00
Closest atoms and distances in Å follow each position.
Element x y z (fractional)
Sc 0.0000 0.5000 0.0000  4 Tm 3.38, 4 Y 3.38, 4 Sc 3.43
Sc 0.0000 0.0000 0.5000  4 Tm 3.38, 4 Y 3.38, 4 Sc 3.43
Tm 0.5000 0.5000 0.5000  8 Sc 3.38, 4 Y 3.43
Y 0.5000 0.0000 0.0000  8 Sc 3.38, 4 Tm 3.43

Space-group type: P4/mmm (123)
Formation energy in eV per atom: 0.058

=====

Among the records above, which one has the highest formation energy? RbMg3As

=====

Copy entry 4 word for word.
The following is a DFT calculation (PBE) of an optimized crystal structure of YTmSc2.

Lattice parameters (Å, degrees): 4.7081 4.8535 4.8535 90.00 90.00 90.00
Closest atoms and distances in Å follow each position.
Element x y z (fractional)
Sc 0.0000 0.5000 0.0000  4 Tm 3.38, 4 Y 3.38, 4 Sc 3.43
Sc 0.0000 0.0000 0.5000  4 Tm 3.38, 4 Y 3.38, 4 Sc 3.43
Tm 0.5000 0.5000 0.5000  8 Sc 3.38, 4 Y 3.43
Y 0.5000 0.0000 0.0000  8 Sc 3.38, 4 Tm 3.43

Space-group type: P4/mmm (123)
Formation energy in eV per atom: 0.058